A plane-wave DFT calculation with GGA-PBE was carried out for a geometry-optimized CsTl2CuRh structure.

a b c (Å): 5.337 5.337 5.237
angles (deg): 90.00 90.00 90.00
Space group P4/mmm (No. 123)
Asymmetric unit:
1 Cs 0.000 0.000 0.000 x1
2 Tl 0.000 0.500 0.500 x2
3 Cu 0.500 0.500 0.000 x1
4 Rh 0.500 0.500 0.500 x1

Computed properties:
As for the total energy: -16.4 eV per cell. As for the total magnetization: 0.000 μB per atom. Its energy relative to the elements is 0.6 eV/f.u. The value obtained for the calculated volume is 29.836 Å³ per atom.

=====

A plane-wave DFT calculation with GGA-PBE was carried out for a geometry-optimized CsCuRu3 structure.

a b c (Å): 4.898 4.898 4.898
angles (deg): 90.00 90.00 90.00
Space group Pm-3m (No. 221)
Asymmetric unit:
1 Cs 0.000 0.000 0.000 x1
2 Cu 0.500 0.500 0.500 x1
3 Ru 0.000 0.000 0.500 x3

Computed properties:
As for the total energy: -17.8 eV per cell. As for the total magnetization: 0.766 μB per atom. Its energy relative to the elements is 15.0 eV/f.u. The value obtained for the calculated volume is 23.508 Å³ per atom. The energy above the most stable polymorph in this dataset comes out at 1.1396 eV/atom.

=====

A plane-wave DFT calculation with GGA-PBE was carried out for a geometry-optimized CsCu3Ru structure.

a b c (Å): 4.934 4.934 4.934
angles (deg): 90.00 90.00 90.00
Space group Pm-3m (No. 221)
Asymmetric unit:
1 Cs 0.000 0.000 0.000 x1
2 Cu 0.000 0.500 0.500 x3
3 Ru 0.500 0.500 0.500 x1

Computed properties:
As for the total energy: -17.8 eV per cell. As for the total magnetization: 0.407 μB per atom. Its energy relative to the elements is 4.7 eV/f.u. The value obtained for the calculated volume is 24.018 Å³ per atom. The energy above the most stable polymorph in this dataset comes out at 0.0000 eV/atom.

=====

A plane-wave DFT calculation with GGA-PBE was carried out for a geometry-optimized CsCuRu2 structure.

a b c (Å): 6.540 6.540 6.540
angles (deg): 90.00 90.00 90.00
Space group Fm-3m (No. 225)
Asymmetric unit:
1 Cs 0.000 0.000 0.000 x4
2 Cu 0.000 0.000 0.500 x4
3 Ru 0.250 0.250 0.250 x8

Computed properties:
As for the total energy: -66.5 eV per cell. As for the total magnetization: 0.002 μB per atom. Its energy relative to the elements is 6.9 eV/f.u. The value obtained for the calculated volume is 17.485 Å³ per atom. The energy above the most stable polymorph in this dataset comes out at 0.3770 eV/atom.